A plane-wave DFT calculation with PBE was carried out for an optimized crystal structure of Mg2Zn2InAg5.

Results
- E: -2.33 eV/atom
- Density of states at the Fermi level: 4.86 states/eV/cell
- Spin magnetization: 0.000 μB/atom

a b c (Å): 4.185 9.493 9.493
angles (deg): 90.00 90.00 90.00
Element x y z (fractional)
Mg1 0.000 0.676 0.176
Mg2 0.000 0.324 0.824
Mg3 0.000 0.176 0.324
Mg4 0.000 0.824 0.676
Zn1 0.000 0.120 0.620
Zn2 0.000 0.880 0.380
Zn3 0.000 0.620 0.880
Zn4 0.000 0.380 0.120
In1 0.000 0.000 0.000
In2 0.000 0.500 0.500
Ag1 0.500 0.202 0.080
Ag2 0.500 0.798 0.920
Ag3 0.500 0.080 0.798
Ag4 0.500 0.702 0.420
Ag5 0.500 0.920 0.202
Ag6 0.500 0.298 0.580
Ag7 0.500 0.580 0.702
Ag8 0.500 0.420 0.298
Ag9 0.500 0.500 0.000
Ag10 0.500 0.000 0.500